[1]
The following is a GGA-PBE calculation of a relaxed structure of NaSmGeTe3, from the Open Quantum Materials Database.

abc: 4.620 14.685 11.836
angles: 90.00 90.00 90.00
Space group Cmcm (No. 63)
One atom of each set of equivalent atoms:
Na (0.000, 0.232, 0.250)
Sm (0.000, 0.000, 0.000)
Ge (0.000, 0.481, 0.750)
Te (0.000, 0.099, 0.750)
Te (0.000, 0.359, 0.562)

## Properties
The crystal system is orthorhombic. The total moment is 0.0 μB/f.u. Its total energy is -98.5 eV/cell.

[2]
The following is a GGA-PBE calculation of a relaxed structure of NaTaGe, from the Open Quantum Materials Database.

abc: 6.291 6.291 6.291
angles: 90.00 90.00 90.00
Space group F-43m (No. 216)
One atom of each set of equivalent atoms:
Na (0.000, 0.000, 0.000)
Ta (0.000, 0.000, 0.500)
Ge (0.250, 0.250, 0.250)

## Properties
The crystal system is cubic. The total moment is 0.1 μB/f.u. Its total energy is -62.5 eV/cell.